Pr2Y6Er: optimized geometry, GGA-PBE.

Values from the calculation:
Raw total energy = -5.77 eV/atom

Cell: 12.9259 14.4080 6.6149 Å, 90.00 103.72 90.00°
Space group C2/c (No. 15)
Inequivalent atoms, fractional coordinates:
Pr1 0.1418 0.0253 0.3745 (multiplicity 8)
Y1 0.0360 0.1893 0.0048 (multiplicity 8)
Y2 0.1326 0.4107 0.8106 (multiplicity 8)
Y3 0.2412 0.1996 0.7284 (multiplicity 8)
Er1 0.0000 0.3836 0.2500 (multiplicity 4)